Compound: NdCo3Sn5
Source: Alexandria
Functional: PBE
Structure: optimized geometry

Magnetic moment, μB per atom: 0.00
Energy relative to the elements, eV per formula unit: -1.1

a b c (Å): 7.162 7.162 9.455
angles (deg): 113.48 113.48 75.56
Atoms (fractional coordinates):
Nd 0.096 0.096 0.303
Nd 0.904 0.904 0.697
Co 0.000 0.000 0.000
Co 0.000 0.000 0.500
Co 0.307 0.307 0.821
Co 0.363 0.363 0.349
Co 0.637 0.637 0.651
Co 0.693 0.693 0.179
Sn 0.064 0.619 0.338
Sn 0.241 0.241 0.038
Sn 0.301 0.699 0.000
Sn 0.381 0.936 0.662
Sn 0.416 0.416 0.645
Sn 0.584 0.584 0.355
Sn 0.619 0.064 0.338
Sn 0.699 0.301 0.000
Sn 0.759 0.759 0.962
Sn 0.936 0.381 0.662